Entry 1:
Material: HfO2F
Method: DFT, PBE-GGA
State: relaxed

Results
**Calculated total energy**: -31.0 eV for the cell shown
**SG**: R-3m

Cell and atoms, written as extended XYZ:
```
4
Lattice="1.623 0.937 5.991 -1.623 0.937 5.991 0.000 -1.875 5.991" Properties=species:S:1:pos:R:3 pbc="T T T"
Hf 0.000 0.000 0.000
O 0.000 0.000 6.901
O 0.000 0.000 11.070
F 0.000 0.000 8.986
```

=====

Entry 2:
Material: HfO2F
Method: DFT, PBE-GGA
State: relaxed

Results
**Calculated total energy**: -30.7 eV for the cell shown
**SG**: Fm-3m

Cell and atoms, written as extended XYZ:
```
4
Lattice="0.000 2.651 2.651 2.651 0.000 2.651 2.651 2.651 0.000" Properties=species:S:1:pos:R:3 pbc="T T T"
Hf 0.000 0.000 0.000
O 1.326 1.326 1.326
O 3.977 3.977 3.977
F 2.651 2.651 2.651
```